#P
VASP calculation (PBE) on an optimized crystal structure of Nb2MoPt2.

a b c (Å): 6.736 6.736 6.736
angles (deg): 146.73 146.73 47.77
Atoms (fractional coordinates):
Nb: 0.250 0.750 0.500
Nb: 0.750 0.250 0.500
Mo: 0.000 0.000 0.000
Pt: 0.400 0.400 0.000
Pt: 0.600 0.600 0.000

Computed properties:
Space-group type ... I4/mmm
Crystal system ... tetragonal
N(E_F) ... 1.04 states/eV/atom


#Q
VASP calculation (PBE) on an optimized crystal structure of Nb2MoPt2.

a b c (Å): 7.034 7.034 3.531
angles (deg): 90.00 90.00 90.00
Atoms (fractional coordinates):
Nb: 0.173 0.327 0.000
Nb: 0.327 0.827 0.000
Nb: 0.673 0.173 0.000
Nb: 0.827 0.673 0.000
Mo: 0.000 0.000 0.500
Mo: 0.500 0.500 0.500
Pt: 0.131 0.631 0.500
Pt: 0.369 0.131 0.500
Pt: 0.631 0.869 0.500
Pt: 0.869 0.369 0.500

Computed properties:
Space-group type ... P4/mbm
Crystal system ... tetragonal
N(E_F) ... 0.98 states/eV/atom


Which of them is the most stable, and which is the least stable? #Q and #P, in that order.


#P
VASP calculation (PBE) on an optimized crystal structure of NbMoPt2.

a b c (Å): 5.775 5.775 5.775
angles (deg): 102.65 102.65 124.18
Atoms (fractional coordinates):
Nb: 0.000 0.000 0.000
Nb: 0.750 0.250 0.500
Mo: 0.250 0.750 0.500
Mo: 0.500 0.500 0.000
Pt: 0.130 0.625 0.005
Pt: 0.375 0.380 0.505
Pt: 0.620 0.125 0.995
Pt: 0.875 0.870 0.495

Computed properties:
Space-group type ... I-42d
Crystal system ... tetragonal
N(E_F) ... 0.68 states/eV/atom


#Q
VASP calculation (PBE) on an optimized crystal structure of NbMoPt2.

a b c (Å): 4.548 4.548 4.548
angles (deg): 60.00 60.00 60.00
Atoms (fractional coordinates):
Nb: 0.000 0.000 0.000
Mo: 0.500 0.500 0.500
Pt: 0.250 0.250 0.250
Pt: 0.750 0.750 0.750

Computed properties:
Space-group type ... Fm-3m
Crystal system ... cubic
N(E_F) ... 1.60 states/eV/atom


Which of them is the most stable, and which is the least stable? #Q and #P, in that order.


#P
VASP calculation (PBE) on an optimized crystal structure of PuNbMo.

a b c (Å): 5.836 5.836 5.836
angles (deg): 147.47 147.47 46.67
Atoms (fractional coordinates):
Pu: 0.000 0.000 0.000
Nb: 0.314 0.314 0.000
Mo: 0.671 0.671 0.000

Computed properties:
Space-group type ... I4mm
Crystal system ... tetragonal
N(E_F) ... 1.71 states/eV/atom


#Q
VASP calculation (PBE) on an optimized crystal structure of PuNbMo.

a b c (Å): 3.272 4.785 7.429
angles (deg): 90.00 90.00 90.00
Atoms (fractional coordinates):
Pu: 0.250 0.250 0.149
Pu: 0.750 0.750 0.851
Nb: 0.250 0.750 0.505
Nb: 0.750 0.250 0.495
Mo: 0.250 0.250 0.786
Mo: 0.750 0.750 0.214

Computed properties:
Space-group type ... Pmmn
Crystal system ... orthorhombic
N(E_F) ... 2.00 states/eV/atom


Which of them is the most stable, and which is the least stable? #P and #Q, in that order.